w:
An optimized crystal structure of HoScCdCo, computed with PBE-GGA.

Cell lengths 3.301, 3.301, 7.450 Å; angles 90.00, 90.00, 90.00 degrees
Fractional positions:
Ho (0.000, 0.000, 0.000)
Sc (0.000, 0.000, 0.579)
Cd (0.500, 0.500, 0.308)
Co (0.500, 0.500, 0.769)

Output
total moment: 0.40 μB per cell
mass density: 7.797 g cm⁻³
symmetry: No. 99

x:
An optimized crystal structure of HoScCdCo, computed with PBE-GGA.

Cell lengths 4.875, 4.875, 4.875 Å; angles 60.00, 60.00, 60.00 degrees
Fractional positions:
Ho (0.000, 0.000, 0.000)
Sc (0.500, 0.500, 0.500)
Cd (0.250, 0.250, 0.250)
Co (0.750, 0.750, 0.750)

Output
total moment: 0.50 μB per cell
mass density: 7.726 g cm⁻³
symmetry: No. 216

Here is how they stack up, most stable first: w, x.

w:
An optimized crystal structure of SmHoCdCo, computed with PBE-GGA.

Cell lengths 5.076, 5.076, 5.076 Å; angles 60.00, 60.00, 60.00 degrees
Fractional positions:
Sm (0.000, 0.000, 0.000)
Ho (0.500, 0.500, 0.500)
Cd (0.250, 0.250, 0.250)
Co (0.750, 0.750, 0.750)

Output
total moment: 0.48 μB per cell
mass density: 8.736 g cm⁻³
symmetry: No. 216

x:
An optimized crystal structure of SmHoCdCo, computed with PBE-GGA.

Cell lengths 3.453, 3.453, 7.723 Å; angles 90.00, 90.00, 90.00 degrees
Fractional positions:
Sm (0.000, 0.000, 0.000)
Ho (0.000, 0.000, 0.575)
Cd (0.500, 0.500, 0.297)
Co (0.500, 0.500, 0.778)

Output
total moment: 0.58 μB per cell
mass density: 8.774 g cm⁻³
symmetry: No. 99

Here is how they stack up, most stable first: x, w.

w:
An optimized crystal structure of TbHoCdCo, computed with PBE-GGA.

Cell lengths 3.429, 3.429, 7.634 Å; angles 90.00, 90.00, 90.00 degrees
Fractional positions:
Tb (0.000, 0.000, 0.000)
Ho (0.000, 0.000, 0.575)
Cd (0.500, 0.500, 0.291)
Co (0.500, 0.500, 0.784)

Output
total moment: 0.52 μB per cell
mass density: 9.163 g cm⁻³
symmetry: No. 99

x:
An optimized crystal structure of TbHoCdCo, computed with PBE-GGA.

Cell lengths 5.032, 5.032, 5.032 Å; angles 60.00, 60.00, 60.00 degrees
Fractional positions:
Tb (0.000, 0.000, 0.000)
Ho (0.500, 0.500, 0.500)
Cd (0.250, 0.250, 0.250)
Co (0.750, 0.750, 0.750)

Output
total moment: 0.54 μB per cell
mass density: 9.126 g cm⁻³
symmetry: No. 216

Here is how they stack up, most stable first: w, x.

w:
An optimized crystal structure of HoTmCdCo, computed with PBE-GGA.

Cell lengths 4.983, 4.983, 4.983 Å; angles 60.00, 60.00, 60.00 degrees
Fractional positions:
Ho (0.000, 0.000, 0.000)
Tm (0.500, 0.500, 0.500)
Cd (0.750, 0.750, 0.750)
Co (0.250, 0.250, 0.250)

Output
total moment: 0.58 μB per cell
mass density: 9.591 g cm⁻³
symmetry: No. 216

x:
An optimized crystal structure of HoTmCdCo, computed with PBE-GGA.

Cell lengths 3.390, 3.390, 7.581 Å; angles 90.00, 90.00, 90.00 degrees
Fractional positions:
Ho (0.000, 0.000, 0.000)
Tm (0.000, 0.000, 0.576)
Cd (0.500, 0.500, 0.291)
Co (0.500, 0.500, 0.785)

Output
total moment: 0.43 μB per cell
mass density: 9.628 g cm⁻³
symmetry: No. 99

Here is how they stack up, most stable first: x, w.

w:
An optimized crystal structure of Cd2CoI, computed with PBE-GGA.

Cell lengths 5.042, 5.042, 5.042 Å; angles 60.00, 60.00, 60.00 degrees
Fractional positions:
Cd (0.250, 0.250, 0.250)
Cd (0.750, 0.750, 0.750)
Co (0.000, 0.000, 0.000)
I (0.500, 0.500, 0.500)

Output
total moment: 0.00 μB per cell
mass density: 7.523 g cm⁻³
symmetry: No. 225

x:
An optimized crystal structure of Cd2CoI, computed with PBE-GGA.

Cell lengths 9.713, 9.713, 9.713 Å; angles 149.29, 149.29, 43.99 degrees
Fractional positions:
Cd (0.375, 0.240, 0.365)
Cd (0.760, 0.125, 0.135)
Cd (0.875, 0.010, 0.635)
Cd (0.990, 0.625, 0.865)
Co (0.000, 0.000, 0.000)
Co (0.750, 0.250, 0.500)
I (0.250, 0.750, 0.500)
I (0.500, 0.500, 0.000)

Output
total moment: 3.93 μB per cell
mass density: 5.722 g cm⁻³
symmetry: No. 122

Here is how they stack up, most stable first: x, w.

w:
An optimized crystal structure of CdCoIN2, computed with PBE-GGA.

Cell lengths 3.802, 3.802, 6.827 Å; angles 90.00, 90.00, 90.00 degrees
Fractional positions:
Cd (0.000, 0.000, 0.000)
Co (0.500, 0.500, 0.500)
I (0.500, 0.500, 0.000)
N (0.000, 0.500, 0.500)
N (0.500, 0.000, 0.500)

Output
total moment: 0.58 μB per cell
mass density: 5.491 g cm⁻³
symmetry: No. 123

x:
An optimized crystal structure of CdCoIN2, computed with PBE-GGA.

Cell lengths 4.181, 4.181, 7.143 Å; angles 90.00, 90.00, 90.00 degrees
Fractional positions:
Cd (0.000, 0.000, 0.000)
Co (0.500, 0.500, 0.500)
I (0.000, 0.000, 0.500)
N (0.000, 0.500, 0.000)
N (0.500, 0.000, 0.000)

Output
total moment: 1.05 μB per cell
mass density: 4.338 g cm⁻³
symmetry: No. 123

Here is how they stack up, most stable first: w, x.

w:
An optimized crystal structure of CdCoI2N, computed with PBE-GGA.

Cell lengths 6.014, 6.014, 4.208 Å; angles 90.00, 90.00, 90.00 degrees
Fractional positions:
Cd (0.000, 0.000, 0.000)
Co (0.500, 0.500, 0.500)
I (0.000, 0.500, 0.000)
I (0.500, 0.000, 0.000)
N (0.000, 0.000, 0.500)

Output
total moment: 4.27 μB per cell
mass density: 4.792 g cm⁻³
symmetry: No. 123

x:
An optimized crystal structure of CdCoI2N, computed with PBE-GGA.

Cell lengths 5.537, 5.537, 3.553 Å; angles 90.00, 90.00, 90.00 degrees
Fractional positions:
Cd (0.000, 0.000, 0.000)
Co (0.500, 0.500, 0.500)
I (0.000, 0.500, 0.500)
I (0.500, 0.000, 0.500)
N (0.500, 0.500, 0.000)

Output
total moment: 0.03 μB per cell
mass density: 6.696 g cm⁻³
symmetry: No. 123

Here is how they stack up, most stable first: x, w.